(1)
Nd2Sn2O7: relaxed, GGA-PBEsol.

abc: 7.488 7.488 7.488
angles: 60.00 60.00 60.00
Positions (direct):
Nd 0.125 0.625 0.625
Nd 0.625 0.625 0.625
Nd 0.625 0.125 0.625
Nd 0.625 0.625 0.125
Sn 0.625 0.125 0.125
Sn 0.125 0.125 0.125
Sn 0.125 0.625 0.125
Sn 0.125 0.125 0.625
O 0.500 0.500 0.500
O 0.750 0.750 0.750
O 0.210 0.210 0.790
O 0.460 0.460 0.040
O 0.790 0.210 0.790
O 0.210 0.790 0.790
O 0.790 0.210 0.210
O 0.210 0.790 0.210
O 0.790 0.790 0.210
O 0.460 0.040 0.040
O 0.040 0.460 0.460
O 0.040 0.040 0.460
O 0.040 0.460 0.040
O 0.460 0.040 0.460

## Properties
- Total magnetic moment: 0.0 μB per formula unit
- Formation energy from raw total energies: -2.5760 eV per atom

=====

(2)
SrNd2O4: relaxed, GGA-PBEsol.

abc: 3.575 9.973 12.175
angles: 90.00 90.00 90.00
Positions (direct):
Sr 0.250 0.239 0.149
Sr 0.750 0.261 0.649
Sr 0.250 0.739 0.351
Sr 0.750 0.761 0.851
Nd 0.250 0.438 0.882
Nd 0.250 0.398 0.395
Nd 0.750 0.102 0.895
Nd 0.750 0.062 0.382
Nd 0.250 0.938 0.618
Nd 0.250 0.898 0.105
Nd 0.750 0.602 0.605
Nd 0.750 0.562 0.118
O 0.750 0.510 0.784
O 0.250 0.439 0.585
O 0.750 0.354 0.009
O 0.750 0.274 0.309
O 0.250 0.226 0.809
O 0.250 0.146 0.509
O 0.750 0.061 0.085
O 0.250 0.990 0.284
O 0.750 0.010 0.716
O 0.250 0.939 0.915
O 0.750 0.854 0.491
O 0.750 0.774 0.191
O 0.250 0.726 0.691
O 0.250 0.646 0.991
O 0.750 0.561 0.415
O 0.250 0.490 0.216

## Properties
- ΔE to the lowest computed polymorph: 0.0 meV/atom
- Total magnetic moment: 0.0 μB per formula unit
- Formation energy from raw total energies: -3.1817 eV per atom

=====

(3)
Sr3Nd4O9: relaxed, GGA-PBEsol.

abc: 6.766 6.766 12.320
angles: 99.38 98.39 115.94
Positions (direct):
Sr 0.644 0.267 0.614
Sr 0.348 0.471 0.114
Sr 0.026 0.122 0.276
Sr 0.153 0.750 0.776
Sr 0.153 0.646 0.499
Sr 0.853 0.846 0.999
Nd 0.588 0.556 0.409
Nd 0.853 0.321 0.909
Nd 0.909 0.547 0.204
Nd 0.657 0.795 0.704
Nd 0.038 0.096 0.552
Nd 0.456 0.014 0.052
Nd 0.342 0.343 0.830
Nd 0.487 0.989 0.330
O 0.925 0.246 0.092
O 0.846 0.666 0.592
O 0.151 0.871 0.159
O 0.288 0.508 0.659
O 0.181 0.063 0.928
O 0.865 0.247 0.428
O 0.357 0.213 0.445
O 0.232 0.588 0.945
O 0.621 0.870 0.180
O 0.310 0.059 0.680
O 0.549 0.307 0.233
O 0.926 0.183 0.733
O 0.641 0.435 0.017
O 0.582 0.876 0.517
O 0.936 0.787 0.378
O 0.591 0.942 0.878
O 0.260 0.574 0.307
O 0.733 0.548 0.807

## Properties
- Total magnetic moment: 0.0 μB per formula unit
- Formation energy from raw total energies: -3.1182 eV per atom

=====

(4)
SrNd2O4: relaxed, GGA-PBEsol.

abc: 7.123 7.123 7.123
angles: 60.00 60.00 60.00
Positions (direct):
Sr 0.250 0.250 0.250
Sr 0.000 0.000 0.000
Nd 0.625 0.125 0.625
Nd 0.625 0.625 0.625
Nd 0.625 0.625 0.125
Nd 0.125 0.625 0.625
O 0.831 0.390 0.390
O 0.390 0.390 0.831
O 0.390 0.390 0.390
O 0.860 0.419 0.860
O 0.390 0.831 0.390
O 0.860 0.860 0.860
O 0.860 0.860 0.419
O 0.419 0.860 0.860

## Properties
- ΔE to the lowest computed polymorph: 22.1 meV/atom
- Total magnetic moment: 0.0 μB per formula unit
- Formation energy from raw total energies: -3.1596 eV per atom

=====

(5)
NdTa3O9: relaxed, GGA-PBEsol.

abc: 5.526 8.752 8.809
angles: 66.66 71.72 71.60
Positions (direct):
Nd 0.671 0.660 0.999
Nd 0.329 0.340 0.001
Ta 0.416 0.918 0.249
Ta 0.252 0.760 0.736
Ta 0.923 0.411 0.742
Ta 0.584 0.082 0.751
Ta 0.748 0.240 0.264
Ta 0.077 0.589 0.258
O 0.425 0.900 0.772
O 0.500 0.000 0.000
O 0.904 0.900 0.772
O 0.272 0.750 0.228
O 0.000 0.500 0.500
O 0.335 0.835 0.496
O 0.076 0.575 0.774
O 0.177 0.646 0.000
O 0.823 0.354 0.000
O 0.425 0.425 0.226
O 0.250 0.250 0.772
O 0.750 0.750 0.228
O 0.575 0.575 0.774
O 0.665 0.165 0.504
O 0.728 0.250 0.772
O 0.924 0.425 0.226
O 0.096 0.100 0.228
O 0.575 0.100 0.228

## Properties
- ΔE to the lowest computed polymorph: 21.7 meV/atom
- Total magnetic moment: 0.0 μB per formula unit
- Formation energy from raw total energies: -3.0178 eV per atom

=====

(6)
NdTa2O6: relaxed, GGA-PBEsol.

abc: 3.949 3.949 7.901
angles: 90.00 90.00 90.00
Positions (direct):
Nd 0.500 0.500 0.000
O 0.500 0.000 0.219
O 0.500 0.000 0.781
O 0.000 0.500 0.219
O 0.000 0.500 0.781
O 0.000 0.000 0.500
O 0.000 0.000 0.000
Ta 0.000 0.000 0.258
Ta 0.000 0.000 0.742

## Properties
- Total magnetic moment: 0.0 μB per formula unit
- Formation energy from raw total energies: -3.0000 eV per atom

=====

no.,N(E_F) (states/eV per atom)
1,0.000
2,0.000
3,0.000
4,0.000
5,0.000
6,0.291